Entry 1:
The following is a PBE-GGA calculation of a relaxed structure of NdHo4Mg5, from Alexandria.

Structure (extended XYZ):
```
10
Lattice="3.7885 0.0000 0.0000 0.0000 3.7885 0.0000 0.0000 0.0000 19.0768" Properties=species:S:1:pos:R:3 pbc="T T T"
Nd 0.0000 0.0000 0.0000
Ho 0.0000 0.0000 3.9097
Ho 0.0000 0.0000 7.6619
Ho 0.0000 0.0000 11.4149
Ho 0.0000 0.0000 15.1671
Mg 1.8943 1.8943 2.0310
Mg 1.8943 1.8943 5.7805
Mg 1.8943 1.8943 9.5384
Mg 1.8943 1.8943 13.2963
Mg 1.8943 1.8943 17.0458
```

Calculated values
total energy = -31.84 eV per cell
D(E_F) = 1.38 states/eV per atom
symmetry = P4/mmm


Entry 2:
The following is a PBE-GGA calculation of a relaxed structure of Nd15Ho4Mg, from Alexandria.

Structure (extended XYZ):
```
20
Lattice="5.1250 0.0000 0.0000 0.0000 5.1250 0.0000 0.0000 0.0000 25.7129" Properties=species:S:1:pos:R:3 pbc="T T T"
Nd 0.0000 0.0000 0.0000
Nd 0.0000 0.0000 5.0731
Nd 0.0000 0.0000 10.2606
Nd 0.0000 0.0000 15.4523
Nd 0.0000 0.0000 20.6398
Nd 0.0000 2.5625 2.5254
Nd 0.0000 2.5625 7.6818
Nd 0.0000 2.5625 12.8565
Nd 0.0000 2.5625 18.0311
Nd 0.0000 2.5625 23.1875
Nd 2.5625 0.0000 2.5254
Nd 2.5625 0.0000 7.6818
Nd 2.5625 0.0000 12.8565
Nd 2.5625 0.0000 18.0311
Nd 2.5625 0.0000 23.1875
Ho 2.5625 2.5625 5.0863
Ho 2.5625 2.5625 10.2697
Ho 2.5625 2.5625 15.4432
Ho 2.5625 2.5625 20.6266
Mg 2.5625 2.5625 0.0000
```

Calculated values
total energy = -91.26 eV per cell
D(E_F) = 1.35 states/eV per atom
symmetry = P4/mmm


Number 1: spin magnetization 0.0 μB/f.u., energy relative to the elements -0.08 eV per atom. Number 2: spin magnetization 0.0 μB/f.u., energy relative to the elements 0.01 eV per atom.